HfMo2I2 | GGA-PBE | relaxed

POSCAR file:
```
HfMo2I2
1.0
4.9953 0.0000 0.0000
-2.4976 4.3260 0.0000
0.0000 0.0000 11.9534
Hf Mo I
2 4 4
Direct
0.0000 0.0000 0.2500
0.0000 0.0000 0.7500
0.3333 0.6667 0.1583
0.3333 0.6667 0.3417
0.6667 0.3333 0.6583
0.6667 0.3333 0.8417
0.0000 0.0000 0.0000
0.0000 0.0000 0.5000
0.3333 0.6667 0.7500
0.6667 0.3333 0.2500
```

Size of the total moment   0.16 μB/f.u.
V   258.3 Å³ per cell
VASP energy   -6.108 eV per atom